BaMoPd: relaxed, GGA-PBE.

Summary:
DFT total energy in eV/atom: -5.72
Density of states at the Fermi level in states/eV per atom: 1.181
ΔE_f in eV/atom: 0.26
ρ in g/cm³: 7.0
Calculated volume in Å³ per atom: 26.9

abc: 4.657 5.698 7.049
angles: 83.48 70.77 65.96
Space group P-1 (No. 2)
Inequivalent atoms, fractional coordinates:
Ba (0.224, 0.215, 0.336) (multiplicity 2)
Mo (0.078, 0.796, 0.048) (multiplicity 2)
Pd (0.412, 0.369, 0.807) (multiplicity 2)


BaMoPd: relaxed, GGA-PBE.

Summary:
DFT total energy in eV/atom: -5.73
Density of states at the Fermi level in states/eV per atom: 0.867
ΔE_f in eV/atom: 0.26
ρ in g/cm³: 7.8
Calculated volume in Å³ per atom: 24.2

abc: 10.108 6.380 5.240
angles: 90.00 120.81 90.00
Space group Cm (No. 8)
Inequivalent atoms, fractional coordinates:
Ba (0.000, 0.000, 0.000) (multiplicity 2)
Ba (0.244, 0.500, 0.246) (multiplicity 2)
Mo (0.342, 0.000, 0.682) (multiplicity 2)
Mo (0.383, 0.000, 0.145) (multiplicity 2)
Pd (0.112, 0.267, 0.619) (multiplicity 4)


Ba2MoPd: relaxed, GGA-PBE.

Summary:
DFT total energy in eV/atom: -4.16
Density of states at the Fermi level in states/eV per atom: 0.560
ΔE_f in eV/atom: 0.80
ρ in g/cm³: 6.0
Calculated volume in Å³ per atom: 32.9

abc: 8.820 8.820 6.763
angles: 90.00 90.00 90.00
Space group I-42d (No. 122)
Inequivalent atoms, fractional coordinates:
Ba (0.219, 0.250, 0.125) (multiplicity 8)
Mo (0.000, 0.000, 0.500) (multiplicity 4)
Pd (0.000, 0.000, 0.000) (multiplicity 4)


BaMoPd: relaxed, GGA-PBE.

Summary:
DFT total energy in eV/atom: -5.76
Density of states at the Fermi level in states/eV per atom: 0.979
ΔE_f in eV/atom: 0.22
ρ in g/cm³: 7.5
Calculated volume in Å³ per atom: 25.0

abc: 4.681 12.527 5.116
angles: 90.00 90.00 90.00
Space group Cmcm (No. 63)
Inequivalent atoms, fractional coordinates:
Ba (0.000, 0.207, 0.250) (multiplicity 4)
Mo (0.000, 0.500, 0.000) (multiplicity 4)
Pd (0.000, 0.055, 0.750) (multiplicity 4)


BaMoPd: relaxed, GGA-PBE.

Summary:
DFT total energy in eV/atom: -4.54
Density of states at the Fermi level in states/eV per atom: 1.047
ΔE_f in eV/atom: 1.45
ρ in g/cm³: 4.4
Calculated volume in Å³ per atom: 43.0

abc: 5.5732 5.5732 9.5950
angles: 90.00 90.00 120.00
Space group P6_3/mmc (No. 194)
Inequivalent atoms, fractional coordinates:
Ba (0.3333, 0.6667, 0.2500) (multiplicity 2)
Mo (0.0000, 0.0000, 0.2500) (multiplicity 2)
Pd (0.0000, 0.0000, 0.0000) (multiplicity 2)


Ba2MoPd2: relaxed, GGA-PBE.

Summary:
DFT total energy in eV/atom: -4.38
Density of states at the Fermi level in states/eV per atom: 1.521
ΔE_f in eV/atom: 0.64
ρ in g/cm³: 6.9
Calculated volume in Å³ per atom: 28.0

abc: 3.702 3.702 20.445
angles: 90.00 90.00 90.00
Space group I4/mmm (No. 139)
Inequivalent atoms, fractional coordinates:
Ba (0.000, 0.000, 0.116) (multiplicity 4)
Mo (0.000, 0.000, 0.500) (multiplicity 2)
Pd (0.000, 0.500, 0.250) (multiplicity 4)


BaMoPd: relaxed, GGA-PBE.

Summary:
DFT total energy in eV/atom: -5.73
Density of states at the Fermi level in states/eV per atom: 1.218
ΔE_f in eV/atom: 0.25
ρ in g/cm³: 7.1
Calculated volume in Å³ per atom: 26.4

abc: 3.866 6.677 6.852
angles: 96.95 106.38 106.74
Space group P1 (No. 1)
Inequivalent atoms, fractional coordinates:
Ba (0.000, 0.000, 0.000) (multiplicity 1)
Ba (0.423, 0.276, 0.565) (multiplicity 1)
Mo (0.138, 0.714, 0.560) (multiplicity 1)
Mo (0.552, 0.753, 0.349) (multiplicity 1)
Pd (0.245, 0.576, 0.911) (multiplicity 1)
Pd (0.814, 0.458, 0.166) (multiplicity 1)


BaMoPd: relaxed, GGA-PBE.

Summary:
DFT total energy in eV/atom: -5.68
Density of states at the Fermi level in states/eV per atom: 1.126
ΔE_f in eV/atom: 0.30
ρ in g/cm³: 7.5
Calculated volume in Å³ per atom: 25.1

abc: 4.844 7.879 7.908
angles: 90.00 90.00 90.00
Space group Imm2 (No. 44)
Inequivalent atoms, fractional coordinates:
Ba (0.000, 0.000, 0.000) (multiplicity 2)
Ba (0.000, 0.500, 0.150) (multiplicity 2)
Mo (0.000, 0.361, 0.739) (multiplicity 4)
Pd (0.000, 0.182, 0.415) (multiplicity 4)


BaMoPd: relaxed, GGA-PBE.

Summary:
DFT total energy in eV/atom: -5.41
Density of states at the Fermi level in states/eV per atom: 1.262
ΔE_f in eV/atom: 0.57
ρ in g/cm³: 6.6
Calculated volume in Å³ per atom: 28.5

abc: 4.3061 4.3061 10.6498
angles: 90.00 90.00 120.00
Space group P6_3/mmc (No. 194)
Inequivalent atoms, fractional coordinates:
Ba (0.0000, 0.0000, 0.0000) (multiplicity 2)
Mo (0.3333, 0.6667, 0.2500) (multiplicity 2)
Pd (0.3333, 0.6667, 0.7500) (multiplicity 2)


BaMoPd: relaxed, GGA-PBE.

Summary:
DFT total energy in eV/atom: -5.75
Density of states at the Fermi level in states/eV per atom: 0.846
ΔE_f in eV/atom: 0.23
ρ in g/cm³: 6.8
Calculated volume in Å³ per atom: 27.5

abc: 4.206 4.558 8.620
angles: 89.94 89.02 89.99
Space group P1 (No. 1)
Inequivalent atoms, fractional coordinates:
Ba (0.000, 0.000, 0.000) (multiplicity 1)
Ba (0.484, 0.501, 0.354) (multiplicity 1)
Mo (0.495, 0.000, 0.695) (multiplicity 1)
Mo (0.961, 0.001, 0.539) (multiplicity 1)
Pd (0.024, 0.500, 0.669) (multiplicity 1)
Pd (0.513, 0.500, 0.883) (multiplicity 1)


BaMoPd2: relaxed, GGA-PBE.

Summary:
DFT total energy in eV/atom: -5.31
Density of states at the Fermi level in states/eV per atom: 0.837
ΔE_f in eV/atom: 0.47
ρ in g/cm³: 6.3
Calculated volume in Å³ per atom: 29.6

abc: 5.357 5.357 16.492
angles: 90.00 90.00 90.00
Space group I4_1/amd (No. 141, origin choice 2)
Inequivalent atoms, fractional coordinates:
Ba (0.000, 0.250, 0.375) (multiplicity 4)
Mo (0.000, 0.250, 0.875) (multiplicity 4)
Pd (0.000, 0.000, 0.000) (multiplicity 8)


BaMoPd: relaxed, GGA-PBE.

Summary:
DFT total energy in eV/atom: -5.64
Density of states at the Fermi level in states/eV per atom: 0.954
ΔE_f in eV/atom: 0.34
ρ in g/cm³: 6.5
Calculated volume in Å³ per atom: 29.0

abc: 4.388 5.113 7.765
angles: 90.00 90.00 90.00
Space group Pmmm (No. 47)
Inequivalent atoms, fractional coordinates:
Ba (0.000, 0.000, 0.000) (multiplicity 1)
Ba (0.500, 0.000, 0.500) (multiplicity 1)
Mo (0.000, 0.500, 0.363) (multiplicity 2)
Pd (0.500, 0.500, 0.173) (multiplicity 2)


BaMoPd: relaxed, GGA-PBE.

Summary:
DFT total energy in eV/atom: -5.76
Density of states at the Fermi level in states/eV per atom: 0.567
ΔE_f in eV/atom: 0.22
ρ in g/cm³: 7.2
Calculated volume in Å³ per atom: 26.0

abc: 8.564 3.529 10.333
angles: 90.00 90.00 90.00
Space group Pnma (No. 62)
Inequivalent atoms, fractional coordinates:
Ba (0.075, 0.250, 0.175) (multiplicity 4)
Mo (0.086, 0.250, 0.535) (multiplicity 4)
Pd (0.248, 0.250, 0.884) (multiplicity 4)


BaMoPd2: relaxed, GGA-PBE.

Summary:
DFT total energy in eV/atom: -5.29
Density of states at the Fermi level in states/eV per atom: 0.627
ΔE_f in eV/atom: 0.50
ρ in g/cm³: 8.3
Calculated volume in Å³ per atom: 22.4

abc: 7.105 7.105 7.105
angles: 90.00 90.00 90.00
Space group Fm-3m (No. 225)
Inequivalent atoms, fractional coordinates:
Ba (0.000, 0.000, 0.000) (multiplicity 4)
Mo (0.000, 0.000, 0.500) (multiplicity 4)
Pd (0.250, 0.250, 0.250) (multiplicity 8)


BaMoPd: relaxed, GGA-PBE.

Summary:
DFT total energy in eV/atom: -5.73
Density of states at the Fermi level in states/eV per atom: 1.112
ΔE_f in eV/atom: 0.25
ρ in g/cm³: 7.4
Calculated volume in Å³ per atom: 25.4

abc: 4.413 5.661 6.238
angles: 77.92 89.15 87.96
Space group P-1 (No. 2)
Inequivalent atoms, fractional coordinates:
Ba (0.249, 0.258, 0.424) (multiplicity 2)
Mo (0.224, 0.886, 0.022) (multiplicity 2)
Pd (0.256, 0.416, 0.906) (multiplicity 2)


Ba3MoPd: relaxed, GGA-PBE.

Summary:
DFT total energy in eV/atom: -3.76
Density of states at the Fermi level in states/eV per atom: 0.732
ΔE_f in eV/atom: 0.60
ρ in g/cm³: 4.4
Calculated volume in Å³ per atom: 46.4

abc: 6.144 6.144 6.144
angles: 90.00 90.00 90.00
Space group Pm-3m (No. 221)
Inequivalent atoms, fractional coordinates:
Ba (0.000, 0.000, 0.500) (multiplicity 3)
Mo (0.500, 0.500, 0.500) (multiplicity 1)
Pd (0.000, 0.000, 0.000) (multiplicity 1)


BaMoPd: relaxed, GGA-PBE.

Summary:
DFT total energy in eV/atom: -5.78
Density of states at the Fermi level in states/eV per atom: 0.906
ΔE_f in eV/atom: 0.20
ρ in g/cm³: 6.8
Calculated volume in Å³ per atom: 27.5

abc: 3.881 3.881 10.965
angles: 90.00 90.00 90.00
Space group P4/nmm (No. 129, origin choice 2)
Inequivalent atoms, fractional coordinates:
Ba (0.250, 0.250, 0.184) (multiplicity 2)
Mo (0.250, 0.750, 0.500) (multiplicity 2)
Pd (0.250, 0.250, 0.679) (multiplicity 2)


BaTeMoPd2: relaxed, GGA-PBE.

Summary:
DFT total energy in eV/atom: -3.69
Density of states at the Fermi level in states/eV per atom: 0.597
Formation energy (no corrections) in meV per atom: 1569
ρ in g/cm³: 5.7
Calculated volume in Å³ per atom: 33.4

abc: 5.243 5.243 6.065
angles: 90.00 90.00 90.00
Space group P4/mmm (No. 123)
Inequivalent atoms, fractional coordinates:
Ba (0.000, 0.000, 0.000) (multiplicity 1)
Te (0.500, 0.500, 0.500) (multiplicity 1)
Mo (0.000, 0.000, 0.500) (multiplicity 1)
Pd (0.000, 0.500, 0.000) (multiplicity 2)


BaMoPt: relaxed, GGA-PBE.

Summary:
DFT total energy in eV/atom: -5.45
Density of states at the Fermi level in states/eV per atom: 1.111
ΔE_f in eV/atom: 0.81
ρ in g/cm³: 10.5
Calculated volume in Å³ per atom: 22.7

abc: 3.1662 3.1662 7.8271
angles: 90.00 90.00 120.00
Space group P3m1 (No. 156)
Inequivalent atoms, fractional coordinates:
Ba (0.0000, 0.0000, 0.0000) (multiplicity 1)
Mo (0.6667, 0.3333, 0.3859) (multiplicity 1)
Pt (0.3333, 0.6667, 0.6303) (multiplicity 1)


BaMo2Pt: relaxed, GGA-PBE.

Summary:
DFT total energy in eV/atom: -6.66
Density of states at the Fermi level in states/eV per atom: 1.037
ΔE_f in eV/atom: 0.75
ρ in g/cm³: 7.9
Calculated volume in Å³ per atom: 27.5

abc: 4.794 4.794 19.119
angles: 90.00 90.00 90.00
Space group I4_1/amd (No. 141, origin choice 2)
Inequivalent atoms, fractional coordinates:
Ba (0.000, 0.250, 0.375) (multiplicity 4)
Mo (0.000, 0.000, 0.000) (multiplicity 8)
Pt (0.000, 0.250, 0.875) (multiplicity 4)